No. 1
The following is a DFT calculation (PBE) of Sr2CdAs after structural relaxation.

Summary:
- Calculated formation energy: -0.4584 eV/atom
- Total magnetization: 3.74 Bohr magnetons per cell
- Energy: -43.05 eV for the cell shown

CIF file:
```
data_Sr2CdAs
_cell_length_a 8.609
_cell_length_b 8.609
_cell_length_c 7.986
_cell_angle_alpha 90.00
_cell_angle_beta 90.00
_cell_angle_gamma 90.00
_space_group_name_H-M_alt 'I -4 2 d'
_space_group_IT_number 122
_space_group_name_Hall 'I -4 2bw'
loop_
_atom_site_label
_atom_site_type_symbol
_atom_site_fract_x
_atom_site_fract_y
_atom_site_fract_z
Sr1 Sr 0.210 0.250 0.125
Cd1 Cd 0.000 0.000 0.500
As1 As 0.000 0.000 0.000
```


No. 2
The following is a DFT calculation (PBE) of SrCdAs2 after structural relaxation.

Summary:
- Calculated formation energy: -0.1321 eV/atom
- Total magnetization: 0.00 Bohr magnetons per cell
- Energy: -49.70 eV for the cell shown

CIF file:
```
data_SrCdAs2
_cell_length_a 7.367
_cell_length_b 7.367
_cell_length_c 7.367
_cell_angle_alpha 90.00
_cell_angle_beta 90.00
_cell_angle_gamma 90.00
_space_group_name_H-M_alt 'F -4 3 m'
_space_group_IT_number 216
_space_group_name_Hall 'F -4 2 3'
loop_
_atom_site_label
_atom_site_type_symbol
_atom_site_fract_x
_atom_site_fract_y
_atom_site_fract_z
Sr1 Sr 0.000 0.000 0.000
Cd1 Cd 0.250 0.250 0.250
As1 As 0.000 0.000 0.500
As2 As 0.250 0.250 0.750
```


No. 3
The following is a DFT calculation (PBE) of Sr2CdAs after structural relaxation.

Summary:
- Calculated formation energy: -0.5695 eV/atom
- Total magnetization: 0.00 Bohr magnetons per cell
- Energy: -22.41 eV for the cell shown

CIF file:
```
data_Sr2CdAs
_cell_length_a 4.129
_cell_length_b 4.956
_cell_length_c 12.348
_cell_angle_alpha 90.00
_cell_angle_beta 90.00
_cell_angle_gamma 90.00
_space_group_name_H-M_alt 'I m m 2'
_space_group_IT_number 44
loop_
_space_group_symop_operation_xyz
'x,y,z'
'-x,-y,z'
'-x,y,z'
'x,-y,z'
'x+1/2,y+1/2,z+1/2'
'-x+1/2,-y+1/2,z+1/2'
'-x+1/2,y+1/2,z+1/2'
'x+1/2,-y+1/2,z+1/2'
loop_
_atom_site_label
_atom_site_type_symbol
_atom_site_fract_x
_atom_site_fract_y
_atom_site_fract_z
Sr1 Sr 0.000 0.000 0.000
Sr2 Sr 0.000 0.500 0.217
Cd1 Cd 0.000 0.000 0.408
As1 As 0.000 0.500 0.734
```


No. 4
The following is a DFT calculation (PBE) of Sr2CdAs after structural relaxation.

Summary:
- Calculated formation energy: -0.6776 eV/atom
- Total magnetization: 0.00 Bohr magnetons per cell
- Energy: -34.92 eV for the cell shown

CIF file:
```
data_Sr2CdAs
_cell_length_a 4.6381
_cell_length_b 4.6381
_cell_length_c 23.4873
_cell_angle_alpha 90.00
_cell_angle_beta 90.00
_cell_angle_gamma 120.00
_space_group_name_H-M_alt 'R -3 m'
_space_group_IT_number 166
_space_group_name_Hall '-R 3 2"'
loop_
_atom_site_label
_atom_site_type_symbol
_atom_site_fract_x
_atom_site_fract_y
_atom_site_fract_z
Sr1 Sr 0.0000 0.0000 0.2335
Cd1 Cd 0.0000 0.0000 0.0000
As1 As 0.0000 0.0000 0.5000
```


No. 5
The following is a DFT calculation (PBE) of Sr2CdAs after structural relaxation.

Summary:
- Calculated formation energy: -0.6950 eV/atom
- Total magnetization: 0.00 Bohr magnetons per cell
- Energy: -11.71 eV for the cell shown

CIF file:
```
data_Sr2CdAs
_cell_length_a 3.924
_cell_length_b 4.066
_cell_length_c 7.620
_cell_angle_alpha 90.00
_cell_angle_beta 90.00
_cell_angle_gamma 90.00
_space_group_name_H-M_alt 'P m m m'
_space_group_IT_number 47
loop_
_space_group_symop_operation_xyz
'x,y,z'
'-x,-y,-z'
'-x,-y,z'
'x,y,-z'
'x,-y,-z'
'-x,y,z'
'-x,y,-z'
'x,-y,z'
loop_
_atom_site_label
_atom_site_type_symbol
_atom_site_fract_x
_atom_site_fract_y
_atom_site_fract_z
Sr1 Sr 0.000 0.000 0.220
Cd1 Cd 0.500 0.500 0.500
As1 As 0.500 0.500 0.000
```


No. 6
The following is a DFT calculation (PBE) of SrCd2As2 after structural relaxation.

Summary:
- Calculated formation energy: -0.2618 eV/atom
- Total magnetization: 0.00 Bohr magnetons per cell
- Energy: -28.24 eV for the cell shown

CIF file:
```
data_SrCd2As2
_cell_length_a 8.273
_cell_length_b 8.273
_cell_length_c 3.576
_cell_angle_alpha 90.00
_cell_angle_beta 90.00
_cell_angle_gamma 90.00
_space_group_name_H-M_alt 'P 4/m b m'
_space_group_IT_number 127
_space_group_name_Hall '-P 4 2ab'
loop_
_atom_site_label
_atom_site_type_symbol
_atom_site_fract_x
_atom_site_fract_y
_atom_site_fract_z
Sr1 Sr 0.000 0.000 0.000
Cd1 Cd 0.119 0.381 0.000
As1 As 0.190 0.690 0.500
```